Entry 1:
# Cs2TaInAs, relaxed, DFT PBE
# Crystal system: tetragonal
# Raw total energy (eV/atom): -2.8381
# Magnetic moment (μB/cell): 4.02
# Formation energy (eV per atom): 1.35
data_Cs2TaInAs
_chemical_formula_sum 'Cs2 Ta1 In1 As1'
_symmetry_space_group_name_H-M 'P 4/m m m'
_symmetry_Int_Tables_number 123
_symmetry_space_group_name_Hall '-P 4 2'
_cell_length_a 6.864
_cell_length_b 6.864
_cell_length_c 5.503
_cell_angle_alpha 90.00
_cell_angle_beta 90.00
_cell_angle_gamma 90.00
loop_
_atom_site_label
_atom_site_fract_x
_atom_site_fract_y
_atom_site_fract_z
Cs1 0.000 0.500 0.000
Ta1 0.000 0.000 0.500
In1 0.000 0.000 0.000
As1 0.500 0.500 0.500

Entry 2:
# Cs2TlInAs2, relaxed, DFT PBE
# Crystal system: orthorhombic
# Raw total energy (eV/atom): -3.0355
# Magnetic moment (μB/cell): 0.00
# Formation energy (eV per atom): -0.35
data_Cs2TlInAs2
_chemical_formula_sum 'Cs8 Tl4 In4 As8'
_symmetry_space_group_name_H-M 'I b a m'
_symmetry_Int_Tables_number 72
_symmetry_space_group_name_Hall '-I 2 2c'
_cell_length_a 7.495
_cell_length_b 16.641
_cell_length_c 7.143
_cell_angle_alpha 90.00
_cell_angle_beta 90.00
_cell_angle_gamma 90.00
loop_
_atom_site_label
_atom_site_fract_x
_atom_site_fract_y
_atom_site_fract_z
Cs1 0.232 0.172 0.000
Tl1 0.000 0.000 0.250
In1 0.000 0.500 0.250
As1 0.195 0.406 0.000

Entry 3:
# CsAsIr3, relaxed, DFT PBE
# Crystal system: cubic
# Raw total energy (eV/atom): -5.2976
# Magnetic moment (μB/cell): 0.00
# Formation energy (eV per atom): 1.12
data_CsAsIr3
_chemical_formula_sum 'Cs1 As1 Ir3'
_symmetry_space_group_name_H-M 'P m -3 m'
_symmetry_Int_Tables_number 221
_symmetry_space_group_name_Hall '-P 4 2 3'
_cell_length_a 4.786
_cell_length_b 4.786
_cell_length_c 4.786
_cell_angle_alpha 90.00
_cell_angle_beta 90.00
_cell_angle_gamma 90.00
loop_
_atom_site_label
_atom_site_fract_x
_atom_site_fract_y
_atom_site_fract_z
Cs1 0.000 0.000 0.000
As1 0.500 0.500 0.500
Ir1 0.000 0.500 0.500

Entry 4:
# CsAs2Ir2, relaxed, DFT PBE
# Crystal system: tetragonal
# Raw total energy (eV/atom): -5.7541
# Magnetic moment (μB/cell): 0.35
# Formation energy (eV per atom): -0.18
data_CsAs2Ir2
_chemical_formula_sum 'Cs1 As2 Ir2'
_symmetry_space_group_name_H-M 'P 4/m m m'
_symmetry_Int_Tables_number 123
_symmetry_space_group_name_Hall '-P 4 2'
_cell_length_a 3.970
_cell_length_b 3.970
_cell_length_c 7.793
_cell_angle_alpha 90.00
_cell_angle_beta 90.00
_cell_angle_gamma 90.00
loop_
_atom_site_label
_atom_site_fract_x
_atom_site_fract_y
_atom_site_fract_z
Cs1 0.000 0.000 0.000
As1 0.500 0.500 0.299
Ir1 0.000 0.500 0.500

Entry 5:
# CsAs2Ir2, relaxed, DFT PBE
# Crystal system: tetragonal
# Raw total energy (eV/atom): -5.5596
# Magnetic moment (μB/cell): 0.00
# Formation energy (eV per atom): 0.02
data_CsAs2Ir2
_chemical_formula_sum 'Cs2 As4 Ir4'
_symmetry_space_group_name_H-M 'I 4/m m m'
_symmetry_Int_Tables_number 139
_symmetry_space_group_name_Hall '-I 4 2'
_cell_length_a 4.457
_cell_length_b 4.457
_cell_length_c 13.546
_cell_angle_alpha 90.00
_cell_angle_beta 90.00
_cell_angle_gamma 90.00
loop_
_atom_site_label
_atom_site_fract_x
_atom_site_fract_y
_atom_site_fract_z
Cs1 0.000 0.000 0.000
As1 0.000 0.500 0.250
Ir1 0.000 0.000 0.326

Entry 6:
# CsAs2Ir2, relaxed, DFT PBE
# Crystal system: tetragonal
# Raw total energy (eV/atom): -6.0438
# Magnetic moment (μB/cell): 0.00
# Formation energy (eV per atom): -0.47
data_CsAs2Ir2
_chemical_formula_sum 'Cs2 As4 Ir4'
_symmetry_space_group_name_H-M 'I 4/m m m'
_symmetry_Int_Tables_number 139
_symmetry_space_group_name_Hall '-I 4 2'
_cell_length_a 4.070
_cell_length_b 4.070
_cell_length_c 14.873
_cell_angle_alpha 90.00
_cell_angle_beta 90.00
_cell_angle_gamma 90.00
loop_
_atom_site_label
_atom_site_fract_x
_atom_site_fract_y
_atom_site_fract_z
Cs1 0.000 0.000 0.000
As1 0.000 0.000 0.344
Ir1 0.000 0.500 0.250